*a*
# Be2SiCl

A geometry-optimized Be2SiCl structure (PBE, Alexandria).

Cell lengths 2.9688, 2.9688, 6.6578 Å; angles 90.00, 90.00, 109.86 degrees
Positions (direct):
Be 0.0000 0.0000 0.2278
Be 0.0000 0.0000 0.7722
Si 0.5000 0.5000 0.0000
Cl 0.5000 0.5000 0.5000

As for the crystal system: orthorhombic. Its density of states at the Fermi level is 1.14 states/eV/f.u.

*b*
# Be2SiCl

A geometry-optimized Be2SiCl structure (PBE, Alexandria).

Cell lengths 5.3054, 5.3054, 5.3054 Å; angles 148.16, 98.93, 89.72 degrees
Positions (direct):
Be 0.2448 0.0000 0.2448
Be 0.7552 0.0000 0.7552
Si 0.0000 0.5000 0.5000
Cl 0.5000 0.5000 0.0000

As for the crystal system: orthorhombic. Its density of states at the Fermi level is 1.17 states/eV/f.u.

*c*
# Be2SiCl

A geometry-optimized Be2SiCl structure (PBE, Alexandria).

Cell lengths 2.8950, 3.0416, 6.1865 Å; angles 90.00, 90.00, 90.00 degrees
Positions (direct):
Be 0.0000 0.0000 0.2093
Be 0.0000 0.0000 0.7907
Si 0.5000 0.5000 0.0000
Cl 0.5000 0.0000 0.5000

As for the crystal system: orthorhombic. Its density of states at the Fermi level is 0.53 states/eV/f.u.

It is *c* that is the most stable of them.

*a*
# Be2SiCl

A geometry-optimized Be2SiCl structure (PBE, Alexandria).

Cell lengths 5.1267, 5.1267, 5.1267 Å; angles 148.77, 120.80, 68.46 degrees
Positions (direct):
Be 0.0000 0.0000 0.0000
Be 0.7826 0.2826 0.5000
Si 0.5332 0.5332 0.0000
Cl 0.1888 0.6888 0.5000

As for the crystal system: orthorhombic. Its density of states at the Fermi level is 1.25 states/eV/f.u.

*b*
# Be2SiCl

A geometry-optimized Be2SiCl structure (PBE, Alexandria).

Cell lengths 6.8084, 6.8084, 6.8084 Å; angles 153.04, 153.04, 38.49 degrees
Positions (direct):
Be 0.0000 0.0000 0.0000
Be 0.7500 0.2500 0.5000
Si 0.5000 0.5000 0.0000
Cl 0.2500 0.7500 0.5000

As for the crystal system: tetragonal. Its density of states at the Fermi level is 1.65 states/eV/f.u.

*c*
# Be2SiCl

A geometry-optimized Be2SiCl structure (PBE, Alexandria).

Cell lengths 3.0406, 3.0406, 9.3462 Å; angles 90.00, 90.00, 125.95 degrees
Positions (direct):
Be 0.0000 0.0000 0.0000
Be 0.5000 0.5000 0.2016
Si 0.0000 0.0000 0.4095
Cl 0.5000 0.5000 0.8489

As for the crystal system: orthorhombic. Its density of states at the Fermi level is 1.05 states/eV/f.u.

*d*
# Be2SiCl

A geometry-optimized Be2SiCl structure (PBE, Alexandria).

Cell lengths 6.5561, 6.5561, 6.5561 Å; angles 28.08, 28.08, 28.08 degrees
Positions (direct):
Be 0.2427 0.2427 0.2427
Be 0.7573 0.7573 0.7573
Si 0.5000 0.5000 0.5000
Cl 0.0000 0.0000 0.0000

As for the crystal system: trigonal. Its density of states at the Fermi level is 0.95 states/eV/f.u.

It is *d* that is the most stable of them.

*a*
# Be2SiCl

A geometry-optimized Be2SiCl structure (PBE, Alexandria).

Cell lengths 3.7975, 3.7975, 6.8062 Å; angles 118.29, 118.29, 45.04 degrees
Positions (direct):
Be 0.1847 0.1847 0.3082
Be 0.8153 0.8153 0.6918
Si 0.0000 0.0000 0.5000
Cl 0.5000 0.5000 0.0000

As for the crystal system: monoclinic. Its density of states at the Fermi level is 0.82 states/eV/f.u.

*b*
# Be2SiCl

A geometry-optimized Be2SiCl structure (PBE, Alexandria).

Cell lengths 4.3085, 4.3085, 4.3085 Å; angles 60.00, 60.00, 60.00 degrees
Positions (direct):
Be 0.0000 0.0000 0.0000
Be 0.2500 0.2500 0.2500
Si 0.5000 0.5000 0.5000
Cl 0.7500 0.7500 0.7500

As for the crystal system: cubic. Its density of states at the Fermi level is 1.06 states/eV/f.u.

It is *a* that is the most stable of them.

*a*
# Be2SiCl2

A geometry-optimized Be2SiCl2 structure (PBE, Alexandria).

Cell lengths 8.7732, 8.7732, 2.8865 Å; angles 90.00, 90.00, 90.00 degrees
Positions (direct):
Be 0.2278 0.2722 0.0000
Be 0.2722 0.7722 0.0000
Be 0.7278 0.2278 0.0000
Be 0.7722 0.7278 0.0000
Si 0.0000 0.0000 0.5000
Si 0.5000 0.5000 0.5000
Cl 0.1217 0.3783 0.5000
Cl 0.3783 0.8783 0.5000
Cl 0.6217 0.1217 0.5000
Cl 0.8783 0.6217 0.5000

As for the crystal system: tetragonal. Its density of states at the Fermi level is 1.91 states/eV/f.u.

*b*
# Be2SiCl2

A geometry-optimized Be2SiCl2 structure (PBE, Alexandria).

Cell lengths 5.7530, 5.7530, 5.7530 Å; angles 137.70, 137.70, 61.37 degrees
Positions (direct):
Be 0.2500 0.7500 0.5000
Be 0.7500 0.2500 0.5000
Si 0.0000 0.0000 0.0000
Cl 0.3317 0.3317 0.0000
Cl 0.6683 0.6683 0.0000

As for the crystal system: tetragonal. Its density of states at the Fermi level is 2.93 states/eV/f.u.

It is *a* that is the most stable of them.